1.
Density functional theory data (PBE-GGA) for a relaxed TaF4 crystal.

Space-group type: P2_12_12_1
Spin magnetization, μB per formula unit: 0.98
E_tot, eV per atom: -6.706

POSCAR file:
```
TaF4
1.0
4.759 0.000 0.000
0.000 5.275 0.000
0.000 0.000 9.027
Ta F
4 16
direct
0.161 0.008 0.395
0.339 0.992 0.895
0.661 0.492 0.605
0.839 0.508 0.105
0.026 0.762 0.240
0.039 0.956 0.758
0.055 0.213 0.000
0.170 0.679 0.989
0.330 0.321 0.489
0.445 0.787 0.500
0.461 0.044 0.258
0.474 0.238 0.740
0.526 0.738 0.760
0.539 0.544 0.242
0.555 0.287 0.000
0.670 0.821 0.011
0.830 0.179 0.511
0.945 0.713 0.500
0.961 0.456 0.742
0.974 0.262 0.260
```



2.
Density functional theory data (PBE-GGA) for a relaxed Ta5F crystal.

Space-group type: P6/mmm
Spin magnetization, μB per formula unit: 0.01
E_tot, eV per atom: -9.362

POSCAR file:
```
Ta5F
1.0
5.511 0.000 0.000
-2.755 4.773 0.000
0.000 0.000 4.688
Ta F
5 1
direct
0.000 0.500 0.000
0.333 0.667 0.500
0.500 0.000 0.000
0.500 0.500 0.000
0.667 0.333 0.500
0.000 0.000 0.500
```